Material: BaPt2S
Method: DFT, PBE
State: optimized geometry

Space-group type = I4_1/amd, No. 141
Spin magnetization = 0.00 Bohr magnetons per cell
Formation energy from raw total energies = -0.814 eV per atom
VASP energy = -85.55 eV/cell

a = 5.3667 Å, b = 5.3667 Å, c = 14.8959 Å
α = 90.00°, β = 90.00°, γ = 90.00°
Closest atoms and distances in Å follow each position.
Fractional coordinates of all 16 atoms:
Ba 0.0000 0.2500 0.3750  8 Pt 3.53, 4 S 3.79
Ba 0.0000 0.7500 0.6250  8 Pt 3.53, 4 S 3.79
Ba 0.5000 0.2500 0.1250  8 Pt 3.53, 4 S 3.79
Ba 0.5000 0.7500 0.8750  8 Pt 3.53, 4 S 3.79
Pt 0.0000 0.0000 0.0000  2 S 2.30
Pt 0.0000 0.5000 0.0000  2 S 2.30
Pt 0.2500 0.2500 0.7500  2 S 2.30
Pt 0.2500 0.7500 0.2500  2 S 2.30
Pt 0.5000 0.0000 0.5000  2 S 2.30
Pt 0.5000 0.5000 0.5000  2 S 2.30
Pt 0.7500 0.2500 0.7500  2 S 2.30
Pt 0.7500 0.7500 0.2500  2 S 2.30
S 0.0000 0.2500 0.8750  4 Pt 2.30
S 0.0000 0.7500 0.1250  4 Pt 2.30
S 0.5000 0.2500 0.6250  4 Pt 2.30
S 0.5000 0.7500 0.3750  4 Pt 2.30



Material: BaPtS
Method: DFT, PBE
State: optimized geometry

Space-group type = P1, No. 1
Spin magnetization = 0.00 Bohr magnetons per cell
Formation energy from raw total energies = -1.138 eV per atom
VASP energy = -31.01 eV/cell

a = 4.4719 Å, b = 6.3455 Å, c = 6.3580 Å
α = 86.35°, β = 81.65°, γ = 74.74°
Closest atoms and distances in Å follow each position.
Fractional coordinates of all 6 atoms:
Ba 0.0000 0.0000 0.0000  2 S 3.15-3.36, 4 Pt 3.16-3.23
Ba 0.2792 0.4905 0.4363  4 S 3.25-3.33, 5 Pt 3.35-3.52
Pt 0.6422 0.7163 0.7726  2 S 2.31-2.34
Pt 0.9338 0.0527 0.5053  2 S 2.31-2.32
S 0.4720 0.9539 0.4922  3 Pt 2.31-2.34
S 0.8424 0.5092 0.0559  1 Pt 2.31



Material: Ba2PtSeS
Method: DFT, PBE
State: optimized geometry

Space-group type = P4/mmm, No. 123
Spin magnetization = 0.00 Bohr magnetons per cell
Formation energy from raw total energies = -1.278 eV per atom
VASP energy = -23.89 eV/cell

a = 6.0568 Å, b = 6.0568 Å, c = 4.4567 Å
α = 90.00°, β = 90.00°, γ = 90.00°
Closest atoms and distances in Å follow each position.
Fractional coordinates of all 5 atoms:
Ba 0.0000 0.5000 0.0000  2 S 3.03
Ba 0.5000 0.0000 0.0000  2 S 3.03
Pt 0.0000 0.0000 0.5000  2 S 2.23
Se 0.5000 0.5000 0.5000  8 Ba 3.76
S 0.0000 0.0000 0.0000  2 Pt 2.23



Material: BaTlPtS2
Method: DFT, PBE
State: optimized geometry

Space-group type = P4/mmm, No. 123
Spin magnetization = 0.65 Bohr magnetons per cell
Formation energy from raw total energies = 0.453 eV per atom
VASP energy = -16.32 eV/cell

a = 4.9635 Å, b = 4.9635 Å, c = 7.5884 Å
α = 90.00°, β = 90.00°, γ = 90.00°
Closest atoms and distances in Å follow each position.
Fractional coordinates of all 5 atoms:
Ba 0.0000 0.0000 0.0000  4 Pt 3.51, 2 Tl 3.79
Tl 0.0000 0.0000 0.5000  4 S 2.48
Pt 0.5000 0.5000 0.0000  4 Ba 3.51
S 0.0000 0.5000 0.5000  2 Tl 2.48
S 0.5000 0.0000 0.5000  2 Tl 2.48



Material: BaU4Pt3S12
Method: DFT, PBE
State: optimized geometry

Space-group type = Im-3, No. 204
Spin magnetization = 8.04 Bohr magnetons per cell
Formation energy from raw total energies = -1.024 eV per atom
VASP energy = -135.21 eV/cell

a = 8.4868 Å, b = 8.4868 Å, c = 8.4868 Å
α = 109.47°, β = 109.47°, γ = 109.47°
Closest atoms and distances in Å follow each position.
Fractional coordinates of all 20 atoms:
Ba 0.0000 0.0000 0.0000  12 S 3.46
U 0.0000 0.0000 0.5000  6 S 2.69
U 0.0000 0.5000 0.0000  6 S 2.69
U 0.5000 0.0000 0.0000  6 S 2.69
U 0.5000 0.5000 0.5000  6 S 2.69
Pt 0.0000 0.5000 0.5000  4 S 2.38
Pt 0.5000 0.0000 0.5000  4 S 2.38
Pt 0.5000 0.5000 0.0000  4 S 2.38
S 0.1582 0.3163 0.8420  1 Pt 2.38
S 0.1580 0.4743 0.3163  1 Pt 2.38
S 0.1580 0.8418 0.6837  1 Pt 2.38
S 0.3163 0.1580 0.4743  1 Pt 2.38
S 0.3163 0.8420 0.1582  1 Pt 2.38
S 0.4743 0.3163 0.1580  1 Pt 2.38
S 0.5257 0.6837 0.8420  1 Pt 2.38
S 0.6837 0.1580 0.8418  1 Pt 2.38
S 0.6837 0.8420 0.5257  1 Pt 2.38
S 0.8420 0.1582 0.3163  1 Pt 2.38
S 0.8420 0.5257 0.6837  1 Pt 2.38
S 0.8418 0.6837 0.1580  1 Pt 2.38



Material: BaU3Pt4S12
Method: DFT, PBE
State: optimized geometry

Space-group type = R32, No. 155
Spin magnetization = 0.00 Bohr magnetons per cell
Formation energy from raw total energies = -0.720 eV per atom
VASP energy = -123.88 eV/cell

a = 8.4543 Å, b = 8.4543 Å, c = 8.4543 Å
α = 104.56°, β = 104.56°, γ = 104.56°
Closest atoms and distances in Å follow each position.
Fractional coordinates of all 20 atoms:
Ba 0.0000 0.0000 0.0000  6 S 3.22
U 0.0000 0.5694 0.4306  6 S 2.53-2.66
U 0.4306 0.0000 0.5694  6 S 2.53-2.66
U 0.5694 0.4306 0.0000  6 S 2.53-2.66
Pt 0.0815 0.5000 0.9185  3 S 2.26-2.28
Pt 0.5000 0.5000 0.5000  3 S 2.24
Pt 0.5000 0.9185 0.0815  3 S 2.26-2.28
Pt 0.9185 0.0815 0.5000  3 S 2.26-2.28
S 0.0075 0.6507 0.7424  1 Pt 2.26, 1 U 2.53
S 0.0887 0.9113 0.5000  1 Pt 2.28
S 0.2576 0.3493 0.9925  1 Pt 2.26, 1 U 2.53
S 0.3324 0.6676 0.5000  1 Pt 2.24
S 0.3493 0.9925 0.2576  1 Pt 2.26, 1 U 2.53
S 0.5000 0.0887 0.9113  1 Pt 2.28
S 0.5000 0.3324 0.6676  1 Pt 2.24
S 0.6507 0.7424 0.0075  1 Pt 2.26, 1 U 2.53
S 0.6676 0.5000 0.3324  1 Pt 2.24
S 0.7424 0.0075 0.6507  1 Pt 2.26, 1 U 2.53
S 0.9113 0.5000 0.0887  1 Pt 2.28
S 0.9925 0.2576 0.3493  1 Pt 2.26, 1 U 2.53